No. 1
{"formula": "ReRhSe2", "functional": "PBE-GGA", "state": "relaxed", "lattice_angstrom": [[8.4641, 0.0000, 0.0000], [0.0000, 3.2102, 0.0000], [-1.1557, 0.0000, 5.1061]], "species": ["Re", "Re", "Rh", "Rh", "Se", "Se", "Se", "Se"], "frac_coords": [[0.0000, 0.0000, 0.0000], [0.5000, 0.5000, 0.0000], [0.2141, 0.0000, 0.6299], [0.7141, 0.5000, 0.6299], [0.2263, 0.5000, 0.1849], [0.4949, 0.0000, 0.6273], [0.7263, 0.0000, 0.1849], [0.9949, 0.5000, 0.6273]], "de_polymorph_mev_per_atom": 201}



No. 2
{"formula": "Pm8Cu2Tc", "functional": "PBE-GGA", "state": "relaxed", "lattice_angstrom": [[4.2048, -6.7452, 0.0000], [4.2048, 6.7452, 0.0000], [-2.1489, 0.0000, 5.5015]], "species": ["Pm", "Pm", "Pm", "Pm", "Pm", "Pm", "Pm", "Pm", "Cu", "Cu", "Tc"], "frac_coords": [[0.0000, 0.0000, 0.0000], [0.0266, 0.2699, 0.5680], [0.1497, 0.5641, 0.1762], [0.2699, 0.0266, 0.5680], [0.4484, 0.6885, 0.7712], [0.5641, 0.1497, 0.1762], [0.6885, 0.4484, 0.7712], [0.7280, 0.7280, 0.3640], [0.0607, 0.6654, 0.6812], [0.6654, 0.0607, 0.6812], [0.3695, 0.3695, 0.2597]], "de_polymorph_mev_per_atom": 79, "formation_enthalpy_0k_ev_per_atom": 0.06}



No. 3
{"formula": "TmMgAl2Cu4", "functional": "PBE-GGA", "state": "relaxed", "lattice_angstrom": [[2.1250, 1.2269, 8.1455], [-2.1250, 1.2269, 8.1455], [0.0000, -2.4538, 8.1455]], "species": ["Tm", "Mg", "Al", "Al", "Cu", "Cu", "Cu", "Cu"], "frac_coords": [[0.0000, 0.0000, 0.0000], [0.5000, 0.5000, 0.5000], [0.2453, 0.2453, 0.2453], [0.7547, 0.7547, 0.7547], [0.1190, 0.1190, 0.1190], [0.3964, 0.3964, 0.3964], [0.6036, 0.6036, 0.6036], [0.8810, 0.8810, 0.8810]], "formation_enthalpy_0k_ev_per_atom": -0.25}